The following is a DFT calculation (PBE) of a geometry-optimized MgBeCl structure.

Values from the calculation:
Magnetization = 0.00 μB/cell
Formation energy (no corrections) = -0.042 eV per atom
Crystal system = trigonal
Electronic total energy = -0.089 Ha/atom

```
MgBeCl
1.0
3.3473 0.0000 0.0000
-1.6736 2.8988 0.0000
0.0000 0.0000 5.4592
Cl Be Mg
1 1 1
direct
0.6667 0.3333 0.3188 Cl
0.0000 0.0000 0.9989 Be
0.3333 0.6667 0.6824 Mg
```